i) NaSnSb3 PBE relaxed; density of states at the Fermi level = 5.7 states/eV/cell
1.0
5.742 0.000 0.000
0.000 5.742 0.000
0.000 0.000 5.742
Na Sn Sb
1 1 3
Direct
0.000 0.000 0.000
0.500 0.500 0.500
0.000 0.500 0.500
0.500 0.000 0.500
0.500 0.500 0.000

ii) NaSnSb3 PBE relaxed; density of states at the Fermi level = 3.5 states/eV/cell
1.0
5.415 0.000 0.000
0.000 5.415 0.000
0.000 0.000 5.415
Na Sn Sb
1 1 3
Direct
0.000 0.000 0.000
0.500 0.500 0.500
0.000 0.000 0.500
0.000 0.500 0.000
0.500 0.000 0.000

What should be chosen as the most stable of them? Choose i).

i) Na3SnSb PBE relaxed; density of states at the Fermi level = 7.1 states/eV/cell
1.0
5.790 0.000 0.000
0.000 5.790 0.000
0.000 0.000 5.790
Na Sn Sb
3 1 1
Direct
0.000 0.000 0.500
0.000 0.500 0.000
0.500 0.000 0.000
0.500 0.500 0.500
0.000 0.000 0.000

ii) Na3SnSb PBE relaxed; density of states at the Fermi level = 2.2 states/eV/cell
1.0
-5.277 4.870 3.136
5.277 -4.870 3.136
5.277 4.870 -3.136
Na Sn Sb
6 2 2
Direct
0.226 0.002 0.724
0.248 0.024 0.272
0.248 0.476 0.724
0.278 0.502 0.276
0.752 0.524 0.276
0.752 0.976 0.728
0.548 0.999 0.048
0.951 0.499 0.952
0.658 0.501 0.657
0.844 0.001 0.343

What should be chosen as the most stable of them? Choose ii).

i) NaSn3Sb PBE relaxed; density of states at the Fermi level = 3.9 states/eV/cell
1.0
5.839 0.000 0.000
0.000 5.839 0.000
0.000 0.000 5.839
Na Sn Sb
1 3 1
Direct
0.000 0.000 0.000
0.000 0.500 0.500
0.500 0.000 0.500
0.500 0.500 0.000
0.500 0.500 0.500

ii) NaSn3Sb PBE relaxed; density of states at the Fermi level = 3.7 states/eV/cell
1.0
5.418 0.000 0.000
0.000 5.418 0.000
0.000 0.000 5.418
Na Sn Sb
1 3 1
Direct
0.000 0.000 0.000
0.000 0.000 0.500
0.000 0.500 0.000
0.500 0.000 0.000
0.500 0.500 0.500

What should be chosen as the most stable of them? Choose i).